LiCeCdPd PBE relaxed; space-group type = No. 216; magnetic moment = 1.083 Bohr magnetons per cell; energy of formation = -0.35 eV per atom
1.0
0.000 3.450 3.450
3.450 0.000 3.450
3.450 3.450 0.000
Li Ce Cd Pd
1 1 1 1
direct
0.000 0.000 0.000 Li
0.250 0.250 0.250 Ce
0.750 0.750 0.750 Cd
0.500 0.500 0.500 Pd